LiFeC2O6: relaxed, PBE with a Hubbard U.

Cell and atoms, written as CIF:
```
data_LiFeC2O6
_chemical_formula_sum 'Li3 Fe3 C6 O18'
_symmetry_space_group_name_H-M 'R -3'
_symmetry_Int_Tables_number 148
_symmetry_space_group_name_Hall '-R 3'
_cell_length_a 4.6905
_cell_length_b 4.6905
_cell_length_c 15.2549
_cell_angle_alpha 90.00
_cell_angle_beta 90.00
_cell_angle_gamma 120.00
loop_
_atom_site_label
_atom_site_type_symbol
_atom_site_fract_x
_atom_site_fract_y
_atom_site_fract_z
Li1 Li 0.0000 0.0000 0.0000
Fe1 Fe 0.0000 0.0000 0.5000
C1 C 0.0000 0.0000 0.2444
O1 O 0.0163 0.2842 0.2450
```

Calculated values
- Magnetic moment: 4.99 μB/f.u.
- Energy above the lowest structure with this stoichiometry: 0 meV/atom
- E: -213.7 eV per cell
- ρ: 3.1 Mg/m³